CuPtN2O | PBE | optimized geometry

Geometry as POSCAR:
```
CuPtN2O
1.0
3.771 0.000 0.000
0.000 3.771 0.000
0.000 0.000 3.721
Cu Pt N O
1 1 2 1
direct
0.000 0.000 0.000 Cu
0.500 0.500 0.500 Pt
0.000 0.500 0.000 N
0.500 0.000 0.000 N
0.000 0.000 0.500 O
```

Properties
E_form (uncorrected) ... 1.69 eV/atom
Calculated volume ... 10.58 A^3/atom
Calculated total energy ... -4.6638 eV/atom

***

CuPtNO2 | PBE | optimized geometry

Geometry as POSCAR:
```
CuPtNO2
1.0
4.133 0.000 0.000
0.000 4.133 0.000
0.000 0.000 3.664
Cu Pt N O
1 1 1 2
direct
0.000 0.000 0.000 Cu
0.500 0.500 0.500 Pt
0.500 0.500 0.000 N
0.000 0.500 0.500 O
0.500 0.000 0.500 O
```

Properties
E_form (uncorrected) ... 0.78 eV/atom
Calculated volume ... 12.51 A^3/atom
Calculated total energy ... -4.8928 eV/atom

***

CuPtN2O | PBE | optimized geometry

Geometry as POSCAR:
```
CuPtN2O
1.0
3.772 0.000 0.000
0.000 3.772 0.000
0.000 0.000 4.403
Cu Pt N O
1 1 2 1
direct
0.000 0.000 0.000 Cu
0.500 0.500 0.500 Pt
0.000 0.500 0.500 N
0.500 0.000 0.500 N
0.500 0.500 0.000 O
```

Properties
E_form (uncorrected) ... 1.40 eV/atom
Calculated volume ... 12.53 A^3/atom
Calculated total energy ... -4.9480 eV/atom

***

RbCuN2O | PBE | optimized geometry

Geometry as POSCAR:
```
RbCuN2O
1.0
5.411 0.000 0.000
0.000 5.411 0.000
0.000 0.000 4.873
Rb Cu N O
1 1 2 1
direct
0.000 0.000 0.000 Rb
0.500 0.500 0.500 Cu
0.000 0.500 0.000 N
0.500 0.000 0.000 N
0.000 0.000 0.500 O
```

Properties
E_form (uncorrected) ... 2.56 eV/atom
Calculated volume ... 28.53 A^3/atom
Calculated total energy ... -2.7770 eV/atom

***

RbCuN2O | PBE | optimized geometry

Geometry as POSCAR:
```
RbCuN2O
1.0
4.044 0.000 0.000
0.000 4.044 0.000
0.000 0.000 4.251
Rb Cu N O
1 1 2 1
direct
0.000 0.000 0.000 Rb
0.500 0.500 0.500 Cu
0.000 0.500 0.500 N
0.500 0.000 0.500 N
0.500 0.500 0.000 O
```

Properties
E_form (uncorrected) ... 1.08 eV/atom
Calculated volume ... 13.90 A^3/atom
Calculated total energy ... -4.2561 eV/atom

***

RbCuNO2 | PBE | optimized geometry

Geometry as POSCAR:
```
RbCuNO2
1.0
4.087 0.000 0.000
0.000 4.087 0.000
0.000 0.000 4.013
Rb Cu N O
1 1 1 2
direct
0.000 0.000 0.000 Rb
0.500 0.500 0.500 Cu
0.500 0.500 0.000 N
0.000 0.500 0.500 O
0.500 0.000 0.500 O
```

Properties
E_form (uncorrected) ... 0.41 eV/atom
Calculated volume ... 13.40 A^3/atom
Calculated total energy ... -4.2560 eV/atom

***

CuReNO2 | PBE | optimized geometry

Geometry as POSCAR:
```
CuReNO2
1.0
3.673 0.000 0.000
0.000 3.673 0.000
0.000 0.000 3.857
Cu Re N O
1 1 1 2
direct
0.000 0.000 0.000 Cu
0.500 0.500 0.500 Re
0.000 0.000 0.500 N
0.000 0.500 0.000 O
0.500 0.000 0.000 O
```

Properties
E_form (uncorrected) ... 1.06 eV/atom
Calculated volume ... 10.41 A^3/atom
Calculated total energy ... -5.9016 eV/atom

***

CuRhN2O | PBE | optimized geometry

Geometry as POSCAR:
```
CuRhN2O
1.0
3.711 0.000 0.000
0.000 3.711 0.000
0.000 0.000 3.755
Cu Rh N O
1 1 2 1
direct
0.000 0.000 0.000 Cu
0.500 0.500 0.500 Rh
0.000 0.500 0.000 N
0.500 0.000 0.000 N
0.000 0.000 0.500 O
```

Properties
E_form (uncorrected) ... 1.54 eV/atom
Calculated volume ... 10.34 A^3/atom
Calculated total energy ... -5.0686 eV/atom

***

CuRhN2O | PBE | optimized geometry

Geometry as POSCAR:
```
CuRhN2O
1.0
3.733 0.000 0.000
0.000 3.733 0.000
0.000 0.000 4.327
Cu Rh N O
1 1 2 1
direct
0.000 0.000 0.000 Cu
0.500 0.500 0.500 Rh
0.000 0.500 0.500 N
0.500 0.000 0.500 N
0.500 0.500 0.000 O
```

Properties
E_form (uncorrected) ... 1.19 eV/atom
Calculated volume ... 12.06 A^3/atom
Calculated total energy ... -5.4211 eV/atom

***

CuRuN2O | PBE | optimized geometry

Geometry as POSCAR:
```
CuRuN2O
1.0
3.726 0.000 0.000
0.000 3.726 0.000
0.000 0.000 3.700
Cu Ru N O
1 1 2 1
direct
0.000 0.000 0.000 Cu
0.500 0.500 0.500 Ru
0.000 0.500 0.000 N
0.500 0.000 0.000 N
0.000 0.000 0.500 O
```

Properties
E_form (uncorrected) ... 1.57 eV/atom
Calculated volume ... 10.28 A^3/atom
Calculated total energy ... -5.4302 eV/atom

***

CuRuN2O | PBE | optimized geometry

Geometry as POSCAR:
```
CuRuN2O
1.0
3.765 0.000 0.000
0.000 3.765 0.000
0.000 0.000 4.085
Cu Ru N O
1 1 2 1
direct
0.000 0.000 0.000 Cu
0.500 0.500 0.500 Ru
0.000 0.500 0.500 N
0.500 0.000 0.500 N
0.500 0.500 0.000 O
```

Properties
E_form (uncorrected) ... 0.87 eV/atom
Calculated volume ... 11.58 A^3/atom
Calculated total energy ... -6.1296 eV/atom

***

CuSbNO2 | PBE | optimized geometry

Geometry as POSCAR:
```
CuSbNO2
1.0
3.918 0.000 0.000
0.000 3.918 0.000
0.000 0.000 4.057
Cu Sb N O
1 1 1 2
direct
0.000 0.000 0.000 Cu
0.500 0.500 0.500 Sb
0.500 0.500 0.000 N
0.000 0.500 0.500 O
0.500 0.000 0.500 O
```

Properties
E_form (uncorrected) ... 0.20 eV/atom
Calculated volume ... 12.46 A^3/atom
Calculated total energy ... -5.0967 eV/atom